Here is crystalline PrNi3Ge2 at its relaxed geometry from Alexandria. Energies are from PBE-GGA.

Its formation energy is -3.45 eV per formula unit.

It has space group C2/m (No. 12), with a = 15.857 Å, b = 3.942 Å, c = 9.604 Å, α = 90.00°, β = 107.29° and γ = 90.00°. The asymmetric unit holds Pr at (0.000, 0.000, 0.000), Pr at (0.156, 0.000, 0.701), Ni at (0.000, 0.500, 0.500), Ni at (0.049, 0.000, 0.346), Ni at (0.128, 0.500, 0.205), Ni at (0.176, 0.500, 0.971), Ni at (0.214, 0.000, 0.390), Ge at (0.028, 0.500, 0.771), Ge at (0.141, 0.500, 0.454) and Ge at (0.200, 0.000, 0.129).

***

Here is crystalline UTl2Zn2O6 at its relaxed geometry from Alexandria. Energies are from PBE-GGA.

Its uncorrected formation energy is -1.77 eV per atom.

It has space group R-3m (No. 166, hexagonal axes), with a = 6.1587 Å, b = 6.1587 Å, c = 17.3968 Å, α = 90.00°, β = 90.00° and γ = 120.00°. The asymmetric unit holds U at (0.0000, 0.0000, 0.0000), Tl at (0.0000, 0.0000, 0.2082), Zn at (0.0000, 0.0000, 0.4042) and O at (0.0211, 0.5106, 0.7401).

***

Here is crystalline Ho6AlSi2 at its relaxed geometry from Alexandria. Energies are from PBE-GGA.

Its uncorrected formation energy is -0.51 eV per atom.

It has space group Immm (No. 71), with a = 9.440 Å, b = 9.518 Å, c = 10.143 Å, α = 90.00°, β = 90.00° and γ = 90.00°. The asymmetric unit holds Ho at (0.000, 0.200, 0.244), Ho at (0.206, 0.500, 0.178), Ho at (0.228, 0.318, 0.500), Al at (0.000, 0.000, 0.000), Al at (0.000, 0.000, 0.500), Si at (0.000, 0.365, 0.000) and Si at (0.000, 0.500, 0.383).

***

Here is crystalline Pr2CuBr at its relaxed geometry from Alexandria. Energies are from PBE-GGA.

Its uncorrected formation energy is -0.57 eV per atom.

It has space group P4/mmm (No. 123), with a = 3.524 Å, b = 3.524 Å, c = 8.352 Å, α = 90.00°, β = 90.00° and γ = 90.00°. The asymmetric unit holds Pr at (0.000, 0.000, 0.221), Cu at (0.500, 0.500, 0.000) and Br at (0.500, 0.500, 0.500).

***

Here is crystalline TaCd2Ag at its relaxed geometry from Alexandria. Energies are from PBE-GGA.

Its formation energy is 2.01 eV per formula unit.

It has space group I-4m2 (No. 119), with a = 4.334 Å, b = 4.334 Å, c = 8.229 Å, α = 90.00°, β = 90.00° and γ = 90.00°. The asymmetric unit holds Ta at (0.000, 0.000, 0.000), Cd at (0.000, 0.000, 0.500), Cd at (0.000, 0.500, 0.250) and Ag at (0.000, 0.500, 0.750).

***

Here is crystalline EuTl4Hg at its relaxed geometry from Alexandria. Energies are from PBE-GGA.

Its formation energy is -0.45 eV per formula unit.

It has space group F-43m (No. 216), with a = 9.101 Å, b = 9.101 Å, c = 9.101 Å, α = 90.00°, β = 90.00° and γ = 90.00°. The asymmetric unit holds Eu at (0.000, 0.000, 0.000), Tl at (0.125, 0.125, 0.625) and Hg at (0.250, 0.250, 0.250).

***

Here is crystalline TbDy2Cd3 at its relaxed geometry from Alexandria. Energies are from PBE-GGA.

Its formation energy is -1.91 eV per formula unit.

It has space group P4/mmm (No. 123), with a = 3.752 Å, b = 3.752 Å, c = 11.232 Å, α = 90.00°, β = 90.00° and γ = 90.00°. The asymmetric unit holds Tb at (0.000, 0.000, 0.000), Dy at (0.000, 0.000, 0.334), Cd at (0.500, 0.500, 0.168) and Cd at (0.500, 0.500, 0.500).

***

Here is crystalline IrRh5 at its relaxed geometry from Alexandria. Energies are from PBE-GGA.

Its formation energy is 0.19 eV per formula unit.

It has space group Cm (No. 8), with a = 10.009 Å, b = 2.738 Å, c = 6.467 Å, α = 90.00°, β = 104.78° and γ = 90.00°. The asymmetric unit holds Ir at (0.000, 0.000, 0.000), Rh at (0.057, 0.000, 0.611), Rh at (0.167, 0.500, 0.333), Rh at (0.222, 0.500, 0.946), Rh at (0.336, 0.000, 0.669) and Rh at (0.391, 0.000, 0.278).

***

Here is crystalline ScCoPd at its relaxed geometry from Alexandria. Energies are from PBE-GGA.

Its formation energy is -1.27 eV per formula unit.

It has space group Ima2 (No. 46), with a = 4.055 Å, b = 7.552 Å, c = 6.382 Å, α = 90.00°, β = 90.00° and γ = 90.00°. The asymmetric unit holds Sc at (0.250, 0.193, 0.000), Co at (0.250, 0.562, 0.806) and Pd at (0.250, 0.617, 0.208).

***

Here is crystalline KSi2Cl at its relaxed geometry from Alexandria. Energies are from PBE-GGA.

Its uncorrected formation energy is -0.15 eV per atom.

It has space group P2/m (No. 10), with a = 3.902 Å, b = 7.884 Å, c = 4.346 Å, α = 90.00°, β = 92.12° and γ = 90.00°. The asymmetric unit holds K at (0.000, 0.000, 0.000), Si at (0.256, 0.500, 0.137) and Cl at (0.500, 0.000, 0.500).

***

Record order is preserved below.
Total DFT energy (no corrections): -5.801, -6.159, -5.184, -4.401, -3.632, -3.415, -3.082, -7.571, -6.633, -3.599 eV/atom
Record order is preserved below.
Total magnetic moment: 0.000, 0.000, 0.000, 0.004, 0.426, 7.436, 0.006, 0.000, 1.225, 0.000 μB per formula unit